## AsOs2Se (PBE-GGA)

Data for crystalline AsOs2Se at its relaxed geometry.

Unit cell a=7.9519 b=7.9519 c=7.9519 alpha=21.90 beta=21.90 gamma=21.90
Fractional coordinates of all 4 atoms:
As (0.0000, 0.0000, 0.0000)
Os (0.2521, 0.2521, 0.2521)
Os (0.7479, 0.7479, 0.7479)
Se (0.5000, 0.5000, 0.5000)

Values from the calculation:
E_form (uncorrected), meV per atom: 493